Here is a relaxed MnNb2SCl crystal from Alexandria. Energies are from PBE.

Properties
uncorrected formation energy = 12.38 kcal/mol of atoms

Unit cell a=4.7594 b=4.7594 c=4.1031 alpha=90.00 beta=90.00 gamma=90.00
Space group P4/mmm (No. 123)
Asymmetric unit:
Mn 0.0000 0.0000 0.0000 [1 per cell]
Nb 0.0000 0.5000 0.0000 [2 per cell]
S 0.0000 0.0000 0.5000 [1 per cell]
Cl 0.5000 0.5000 0.5000 [1 per cell]